No. 1
# PBE ErInNi, optimized geometry
data_ErInNi
_symmetry_space_group_name_H-M 'F -4 3 m'
_symmetry_Int_Tables_number 216
_symmetry_space_group_name_Hall 'F -4 2 3'
_cell_length_a 6.6764
_cell_length_b 6.6764
_cell_length_c 6.6764
_cell_angle_alpha 90.00
_cell_angle_beta 90.00
_cell_angle_gamma 90.00
loop_
_atom_site_label
_atom_site_type_symbol
_atom_site_fract_x
_atom_site_fract_y
_atom_site_fract_z
Er1 Er 0.0000 0.0000 0.0000
In1 In 0.2500 0.2500 0.7500
Ni1 Ni 0.2500 0.2500 0.2500
# **E_tot**: -3.960 eV/atom



No. 2
# PBE ErInNi, optimized geometry
data_ErInNi
_symmetry_space_group_name_H-M 'P -6 2 m'
_symmetry_Int_Tables_number 189
_symmetry_space_group_name_Hall 'P -6 -2'
_cell_length_a 7.2963
_cell_length_b 7.2963
_cell_length_c 3.8654
_cell_angle_alpha 90.00
_cell_angle_beta 90.00
_cell_angle_gamma 120.00
loop_
_atom_site_label
_atom_site_type_symbol
_atom_site_fract_x
_atom_site_fract_y
_atom_site_fract_z
Er1 Er 0.0000 0.5891 0.0000
In1 In 0.0000 0.2536 0.5000
Ni1 Ni 0.0000 0.0000 0.0000
Ni2 Ni 0.3333 0.6667 0.5000
# **E_tot**: -4.803 eV/atom



No. 3
# PBE Er3In2NiSnPt2, optimized geometry
data_Er3In2NiSnPt2
_symmetry_space_group_name_H-M 'A m m 2'
_symmetry_Int_Tables_number 38
_cell_length_a 3.7317
_cell_length_b 13.2182
_cell_length_c 7.6360
_cell_angle_alpha 90.00
_cell_angle_beta 90.00
_cell_angle_gamma 90.00
loop_
_symmetry_equiv_pos_as_xyz
'x,y,z'
'-x,-y,z'
'-x,y,z'
'x,-y,z'
'x,y+1/2,z+1/2'
'-x,-y+1/2,z+1/2'
'-x,y+1/2,z+1/2'
'x,-y+1/2,z+1/2'
loop_
_atom_site_label
_atom_site_type_symbol
_atom_site_fract_x
_atom_site_fract_y
_atom_site_fract_z
Er1 Er 0.0000 0.0000 0.0000
Er2 Er 0.0000 0.2050 0.3877
In1 In 0.5000 0.1255 0.7185
Ni1 Ni 0.0000 0.0000 0.5866
Sn1 Sn 0.5000 0.0000 0.3434
Pt1 Pt 0.5000 0.1664 0.0920
# **E_tot**: -5.456 eV/atom



No. 4
# PBE Er2Tm2InSi4Ni2, optimized geometry
data_Er2Tm2InSi4Ni2
_symmetry_space_group_name_H-M 'C 1 2/m 1'
_symmetry_Int_Tables_number 12
_cell_length_a 15.1083
_cell_length_b 4.1505
_cell_length_c 6.8802
_cell_angle_alpha 90.00
_cell_angle_beta 108.88
_cell_angle_gamma 90.00
loop_
_symmetry_equiv_pos_as_xyz
'x,y,z'
'-x,-y,-z'
'-x,y,-z'
'x,-y,z'
'x+1/2,y+1/2,z'
'-x+1/2,-y+1/2,-z'
'-x+1/2,y+1/2,-z'
'x+1/2,-y+1/2,z'
loop_
_atom_site_label
_atom_site_type_symbol
_atom_site_fract_x
_atom_site_fract_y
_atom_site_fract_z
Er1 Er 0.0895 0.0000 0.3879
Tm1 Tm 0.1559 0.0000 0.9371
In1 In 0.0000 0.5000 0.0000
Si1 Si 0.0648 0.5000 0.6565
Si2 Si 0.2053 0.5000 0.2738
Ni1 Ni 0.2166 0.5000 0.6405
# **E_tot**: -5.673 eV/atom



No. 5
# PBE SmEr2In3Ni3, optimized geometry
data_SmEr2In3Ni3
_symmetry_space_group_name_H-M 'A m m 2'
_symmetry_Int_Tables_number 38
_cell_length_a 3.8056
_cell_length_b 12.8856
_cell_length_c 7.4597
_cell_angle_alpha 90.00
_cell_angle_beta 90.00
_cell_angle_gamma 90.00
loop_
_symmetry_equiv_pos_as_xyz
'x,y,z'
'-x,-y,z'
'-x,y,z'
'x,-y,z'
'x,y+1/2,z+1/2'
'-x,-y+1/2,z+1/2'
'-x,y+1/2,z+1/2'
'x,-y+1/2,z+1/2'
loop_
_atom_site_label
_atom_site_type_symbol
_atom_site_fract_x
_atom_site_fract_y
_atom_site_fract_z
Sm1 Sm 0.0000 0.0000 0.0000
Er1 Er 0.0000 0.2054 0.3826
In1 In 0.5000 0.0000 0.3372
In2 In 0.5000 0.1281 0.7130
Ni1 Ni 0.0000 0.0000 0.5865
Ni2 Ni 0.5000 0.1681 0.0885
# **E_tot**: -4.809 eV/atom



No. 6
# PBE Tb2ErIn3Ni3, optimized geometry
data_Tb2ErIn3Ni3
_symmetry_space_group_name_H-M 'A m m 2'
_symmetry_Int_Tables_number 38
_cell_length_a 3.7994
_cell_length_b 12.8683
_cell_length_c 7.4268
_cell_angle_alpha 90.00
_cell_angle_beta 90.00
_cell_angle_gamma 90.00
loop_
_symmetry_equiv_pos_as_xyz
'x,y,z'
'-x,-y,z'
'-x,y,z'
'x,-y,z'
'x,y+1/2,z+1/2'
'-x,-y+1/2,z+1/2'
'-x,y+1/2,z+1/2'
'x,-y+1/2,z+1/2'
loop_
_atom_site_label
_atom_site_type_symbol
_atom_site_fract_x
_atom_site_fract_y
_atom_site_fract_z
Tb1 Tb 0.0000 0.2053 0.0000
Er1 Er 0.0000 0.0000 0.3845
In1 In 0.5000 0.0000 0.0504
In2 In 0.5000 0.1267 0.6667
Ni1 Ni 0.0000 0.0000 0.7939
Ni2 Ni 0.5000 0.1659 0.2949
# **E_tot**: -4.816 eV/atom



No. 7
# PBE TbErIn2Ni4, optimized geometry
data_TbErIn2Ni4
_symmetry_space_group_name_H-M 'P m m 2'
_symmetry_Int_Tables_number 25
_cell_length_a 4.0089
_cell_length_b 5.0911
_cell_length_c 6.9992
_cell_angle_alpha 90.00
_cell_angle_beta 90.00
_cell_angle_gamma 90.00
loop_
_symmetry_equiv_pos_as_xyz
'x,y,z'
'-x,-y,z'
'-x,y,z'
'x,-y,z'
loop_
_atom_site_label
_atom_site_type_symbol
_atom_site_fract_x
_atom_site_fract_y
_atom_site_fract_z
Tb1 Tb 0.0000 0.0000 0.0000
Er1 Er 0.0000 0.5000 0.4656
In1 In 0.5000 0.0000 0.3770
In2 In 0.5000 0.5000 0.0879
Ni1 Ni 0.0000 0.0000 0.6180
Ni2 Ni 0.0000 0.5000 0.8436
Ni3 Ni 0.5000 0.2516 0.7298
# **E_tot**: -5.083 eV/atom



No. 8
# PBE ErInNiTe3, optimized geometry
data_ErInNiTe3
_symmetry_space_group_name_H-M 'C m c m'
_symmetry_Int_Tables_number 63
_symmetry_space_group_name_Hall '-C 2c 2'
_cell_length_a 4.0489
_cell_length_b 15.2703
_cell_length_c 10.9286
_cell_angle_alpha 90.00
_cell_angle_beta 90.00
_cell_angle_gamma 90.00
loop_
_atom_site_label
_atom_site_type_symbol
_atom_site_fract_x
_atom_site_fract_y
_atom_site_fract_z
Er1 Er 0.0000 0.0000 0.0000
In1 In 0.0000 0.2470 0.2500
Ni1 Ni 0.0000 0.4762 0.7500
Te1 Te 0.0000 0.0812 0.7500
Te2 Te 0.0000 0.3621 0.5757
# **E_tot**: -4.342 eV/atom



No. 9
# PBE ErTm2In3Ni3, optimized geometry
data_ErTm2In3Ni3
_symmetry_space_group_name_H-M 'A m m 2'
_symmetry_Int_Tables_number 38
_cell_length_a 3.7547
_cell_length_b 12.7700
_cell_length_c 7.3719
_cell_angle_alpha 90.00
_cell_angle_beta 90.00
_cell_angle_gamma 90.00
loop_
_symmetry_equiv_pos_as_xyz
'x,y,z'
'-x,-y,z'
'-x,y,z'
'x,-y,z'
'x,y+1/2,z+1/2'
'-x,-y+1/2,z+1/2'
'-x,y+1/2,z+1/2'
'x,-y+1/2,z+1/2'
loop_
_atom_site_label
_atom_site_type_symbol
_atom_site_fract_x
_atom_site_fract_y
_atom_site_fract_z
Er1 Er 0.0000 0.0000 0.0000
Tm1 Tm 0.0000 0.2051 0.6153
In1 In 0.5000 0.0000 0.6656
In2 In 0.5000 0.1280 0.2826
Ni1 Ni 0.0000 0.0000 0.4106
Ni2 Ni 0.5000 0.1669 0.9102
# **E_tot**: -4.784 eV/atom



No. 10
# PBE YErIn2Ni4, optimized geometry
data_YErIn2Ni4
_symmetry_space_group_name_H-M 'P -6 m 2'
_symmetry_Int_Tables_number 187
_symmetry_space_group_name_Hall 'P -6 2'
_cell_length_a 4.3987
_cell_length_b 4.3987
_cell_length_c 8.4377
_cell_angle_alpha 90.00
_cell_angle_beta 90.00
_cell_angle_gamma 120.00
loop_
_atom_site_label
_atom_site_type_symbol
_atom_site_fract_x
_atom_site_fract_y
_atom_site_fract_z
Y1 Y 0.0000 0.0000 0.0000
Er1 Er 0.6667 0.3333 0.5000
In1 In 0.3333 0.6667 0.2520
Ni1 Ni 0.0000 0.0000 0.3396
Ni2 Ni 0.6667 0.3333 0.1682
# **Offset from the most stable computed form**: 4.7 kJ/mol of atoms



No. 11
# PBE YErInNi2, optimized geometry
data_YErInNi2
_symmetry_space_group_name_H-M 'A m m 2'
_symmetry_Int_Tables_number 38
_cell_length_a 3.6687
_cell_length_b 3.8947
_cell_length_c 14.1665
_cell_angle_alpha 90.00
_cell_angle_beta 90.00
_cell_angle_gamma 90.00
loop_
_symmetry_equiv_pos_as_xyz
'x,y,z'
'-x,-y,z'
'-x,y,z'
'x,-y,z'
'x,y+1/2,z+1/2'
'-x,-y+1/2,z+1/2'
'-x,y+1/2,z+1/2'
'x,-y+1/2,z+1/2'
loop_
_atom_site_label
_atom_site_type_symbol
_atom_site_fract_x
_atom_site_fract_y
_atom_site_fract_z
Y1 Y 0.0000 0.0000 0.0000
Er1 Er 0.0000 0.0000 0.7238
In1 In 0.5000 0.0000 0.3618
Ni1 Ni 0.5000 0.0000 0.1656
Ni2 Ni 0.5000 0.0000 0.5633
# **E_tot**: -5.526 eV/atom



No. 12
# PBE YErIn2Ni4, optimized geometry
data_YErIn2Ni4
_symmetry_space_group_name_H-M 'P m m 2'
_symmetry_Int_Tables_number 25
_cell_length_a 3.9990
_cell_length_b 5.0776
_cell_length_c 7.0009
_cell_angle_alpha 90.00
_cell_angle_beta 90.00
_cell_angle_gamma 90.00
loop_
_symmetry_equiv_pos_as_xyz
'x,y,z'
'-x,-y,z'
'-x,y,z'
'x,-y,z'
loop_
_atom_site_label
_atom_site_type_symbol
_atom_site_fract_x
_atom_site_fract_y
_atom_site_fract_z
Y1 Y 0.0000 0.0000 0.0000
Er1 Er 0.0000 0.5000 0.4668
In1 In 0.5000 0.0000 0.3753
In2 In 0.5000 0.5000 0.0877
Ni1 Ni 0.0000 0.0000 0.6165
Ni2 Ni 0.0000 0.5000 0.8434
Ni3 Ni 0.5000 0.2514 0.7290
# **Offset from the most stable computed form**: 0.0 kJ/mol of atoms



No. 13
# PBE Y2ErIn3Ni3, optimized geometry
data_Y2ErIn3Ni3
_symmetry_space_group_name_H-M 'A m m 2'
_symmetry_Int_Tables_number 38
_cell_length_a 3.7943
_cell_length_b 12.8888
_cell_length_c 7.4691
_cell_angle_alpha 90.00
_cell_angle_beta 90.00
_cell_angle_gamma 90.00
loop_
_symmetry_equiv_pos_as_xyz
'x,y,z'
'-x,-y,z'
'-x,y,z'
'x,-y,z'
'x,y+1/2,z+1/2'
'-x,-y+1/2,z+1/2'
'-x,y+1/2,z+1/2'
'x,-y+1/2,z+1/2'
loop_
_atom_site_label
_atom_site_type_symbol
_atom_site_fract_x
_atom_site_fract_y
_atom_site_fract_z
Y1 Y 0.0000 0.2053 0.0000
Er1 Er 0.0000 0.0000 0.6162
In1 In 0.5000 0.0000 0.9505
In2 In 0.5000 0.1270 0.3329
Ni1 Ni 0.0000 0.0000 0.2064
Ni2 Ni 0.5000 0.1652 0.7046
# **E_tot**: -5.229 eV/atom



No. 14
# PBE ErNpIn, optimized geometry
data_ErNpIn
_symmetry_space_group_name_H-M 'F -4 3 m'
_symmetry_Int_Tables_number 216
_symmetry_space_group_name_Hall 'F -4 2 3'
_cell_length_a 7.3155
_cell_length_b 7.3155
_cell_length_c 7.3155
_cell_angle_alpha 90.00
_cell_angle_beta 90.00
_cell_angle_gamma 90.00
loop_
_atom_site_label
_atom_site_type_symbol
_atom_site_fract_x
_atom_site_fract_y
_atom_site_fract_z
Er1 Er 0.0000 0.0000 0.0000
Np1 Np 0.0000 0.0000 0.5000
In1 In 0.2500 0.2500 0.2500
# **Offset from the most stable computed form**: 0.0 kJ/mol of atoms



No. 15
# PBE Er3InO6, optimized geometry
data_Er3InO6
_symmetry_space_group_name_H-M 'C m c 21'
_symmetry_Int_Tables_number 36
_cell_length_a 8.7623
_cell_length_b 10.9748
_cell_length_c 5.4884
_cell_angle_alpha 90.00
_cell_angle_beta 90.00
_cell_angle_gamma 90.00
loop_
_symmetry_equiv_pos_as_xyz
'x,y,z'
'-x,-y,z+1/2'
'-x,y,z'
'x,-y,z+1/2'
'x+1/2,y+1/2,z'
'-x+1/2,-y+1/2,z+1/2'
'-x+1/2,y+1/2,z'
'x+1/2,-y+1/2,z+1/2'
loop_
_atom_site_label
_atom_site_type_symbol
_atom_site_fract_x
_atom_site_fract_y
_atom_site_fract_z
Er1 Er 0.0000 0.1001 0.0000
Er2 Er 0.1961 0.3933 0.0565
In1 In 0.0000 0.3205 0.5687
O1 O 0.0000 0.2786 0.2095
O2 O 0.0000 0.4793 0.7891
O3 O 0.1608 0.0196 0.2765
O4 O 0.1669 0.2342 0.7798
# **E_tot**: -7.665 eV/atom



No. 16
# PBE ErInPO, optimized geometry
data_ErInPO
_symmetry_space_group_name_H-M 'P m c 21'
_symmetry_Int_Tables_number 26
_cell_length_a 4.0178
_cell_length_b 7.6222
_cell_length_c 5.6705
_cell_angle_alpha 90.00
_cell_angle_beta 90.00
_cell_angle_gamma 90.00
loop_
_symmetry_equiv_pos_as_xyz
'x,y,z'
'-x,-y,z+1/2'
'-x,y,z'
'x,-y,z+1/2'
loop_
_atom_site_label
_atom_site_type_symbol
_atom_site_fract_x
_atom_site_fract_y
_atom_site_fract_z
Er1 Er 0.0000 0.1842 0.0000
In1 In 0.5000 0.3810 0.5637
P1 P 0.0000 0.1758 0.4931
O1 O 0.5000 0.2960 0.9730
# **Offset from the most stable computed form**: 7.6 kJ/mol of atoms



No. 17
# PBE ErInPO, optimized geometry
data_ErInPO
_symmetry_space_group_name_H-M 'P 4/n m m'
_symmetry_Int_Tables_number 129
_cell_length_a 4.4159
_cell_length_b 4.4159
_cell_length_c 7.9977
_cell_angle_alpha 90.00
_cell_angle_beta 90.00
_cell_angle_gamma 90.00
loop_
_symmetry_equiv_pos_as_xyz
'x,y,z'
'-x,-y,-z'
'-y+1/2,x,z'
'y+1/2,-x,-z'
'-x+1/2,-y+1/2,z'
'x+1/2,y+1/2,-z'
'y,-x+1/2,z'
'-y,x+1/2,-z'
'x+1/2,-y,-z'
'-x+1/2,y,z'
'-y,-x,-z'
'y,x,z'
'-x,y+1/2,-z'
'x,-y+1/2,z'
'y+1/2,x+1/2,-z'
'-y+1/2,-x+1/2,z'
loop_
_atom_site_label
_atom_site_type_symbol
_atom_site_fract_x
_atom_site_fract_y
_atom_site_fract_z
Er1 Er 0.2500 0.7500 0.0000
In1 In 0.2500 0.2500 0.4018
P1 P 0.2500 0.2500 0.8102
O1 O 0.2500 0.7500 0.5000
# **Offset from the most stable computed form**: 66.3 kJ/mol of atoms



No. 18
# PBE ErInPO, optimized geometry
data_ErInPO
_symmetry_space_group_name_H-M 'P m c 21'
_symmetry_Int_Tables_number 26
_cell_length_a 4.4674
_cell_length_b 6.3508
_cell_length_c 6.4074
_cell_angle_alpha 90.00
_cell_angle_beta 90.00
_cell_angle_gamma 90.00
loop_
_symmetry_equiv_pos_as_xyz
'x,y,z'
'-x,-y,z+1/2'
'-x,y,z'
'x,-y,z+1/2'
loop_
_atom_site_label
_atom_site_type_symbol
_atom_site_fract_x
_atom_site_fract_y
_atom_site_fract_z
Er1 Er 0.0000 0.1442 0.0000
In1 In 0.5000 0.2895 0.4048
P1 P 0.5000 0.3090 0.8137
O1 O 0.0000 0.1430 0.3348
# **Offset from the most stable computed form**: 9.0 kJ/mol of atoms



No. 19
# PBE ErInPO, optimized geometry
data_ErInPO
_symmetry_space_group_name_H-M 'P 4/n m m'
_symmetry_Int_Tables_number 129
_cell_length_a 4.3202
_cell_length_b 4.3202
_cell_length_c 8.1315
_cell_angle_alpha 90.00
_cell_angle_beta 90.00
_cell_angle_gamma 90.00
loop_
_symmetry_equiv_pos_as_xyz
'x,y,z'
'-x,-y,-z'
'-y+1/2,x,z'
'y+1/2,-x,-z'
'-x+1/2,-y+1/2,z'
'x+1/2,y+1/2,-z'
'y,-x+1/2,z'
'-y,x+1/2,-z'
'x+1/2,-y,-z'
'-x+1/2,y,z'
'-y,-x,-z'
'y,x,z'
'-x,y+1/2,-z'
'x,-y+1/2,z'
'y+1/2,x+1/2,-z'
'-y+1/2,-x+1/2,z'
loop_
_atom_site_label
_atom_site_type_symbol
_atom_site_fract_x
_atom_site_fract_y
_atom_site_fract_z
Er1 Er 0.2500 0.2500 0.0945
In1 In 0.2500 0.7500 0.5000
P1 P 0.2500 0.2500 0.6965
O1 O 0.2500 0.7500 0.0000
# **Offset from the most stable computed form**: 0.0 kJ/mol of atoms



No. 20
# PBE ErInPO, optimized geometry
data_ErInPO
_symmetry_space_group_name_H-M 'P 4/n m m'
_symmetry_Int_Tables_number 129
_cell_length_a 5.5452
_cell_length_b 5.5452
_cell_length_c 4.9541
_cell_angle_alpha 90.00
_cell_angle_beta 90.00
_cell_angle_gamma 90.00
loop_
_symmetry_equiv_pos_as_xyz
'x,y,z'
'-x,-y,-z'
'-y+1/2,x,z'
'y+1/2,-x,-z'
'-x+1/2,-y+1/2,z'
'x+1/2,y+1/2,-z'
'y,-x+1/2,z'
'-y,x+1/2,-z'
'x+1/2,-y,-z'
'-x+1/2,y,z'
'-y,-x,-z'
'y,x,z'
'-x,y+1/2,-z'
'x,-y+1/2,z'
'y+1/2,x+1/2,-z'
'-y+1/2,-x+1/2,z'
loop_
_atom_site_label
_atom_site_type_symbol
_atom_site_fract_x
_atom_site_fract_y
_atom_site_fract_z
Er1 Er 0.2500 0.7500 0.0000
In1 In 0.2500 0.2500 0.4976
P1 P 0.2500 0.2500 0.9973
O1 O 0.2500 0.7500 0.5000
# **Offset from the most stable computed form**: 16.2 kJ/mol of atoms